# Y2Mn2B2C PBE optimized geometry
# D(E_F): 0.701 states/eV/atom
# Mass density: 5.6 g/cm3
# Total DFT energy (no corrections): -113.3 eV/cell
# Total moment: 0.03 μB per formula unit
# E_form: -399 meV per atom
data_Y2Mn2B2C
_chemical_formula_sum 'Y4 Mn4 B4 C2'
_cell_length_a 10.257
_cell_length_b 3.545
_cell_length_c 6.457
_cell_angle_alpha 90.00
_cell_angle_beta 125.35
_cell_angle_gamma 90.00
_symmetry_space_group_name_H-M 'C 1 2/m 1'
_symmetry_Int_Tables_number 12
loop_
_symmetry_equiv_pos_as_xyz
'x,y,z'
'-x,-y,-z'
'-x,y,-z'
'x,-y,z'
'x+1/2,y+1/2,z'
'-x+1/2,-y+1/2,-z'
'-x+1/2,y+1/2,-z'
'x+1/2,-y+1/2,z'
loop_
_atom_site_label
_atom_site_fract_x
_atom_site_fract_y
_atom_site_fract_z
Y1 0.068 0.000 0.319
Mn1 0.203 0.500 0.087
B1 0.188 0.500 0.752
C1 0.000 0.500 0.000

# Mg8Tl3Sn PBE optimized geometry
# D(E_F): 0.363 states/eV/atom
# Mass density: 4.8 g/cm3
# Total DFT energy (no corrections): -47.5 eV/cell
# Total moment: 0.00 μB per formula unit
# E_form: 10 meV per atom
data_Mg8Tl3Sn
_chemical_formula_sum 'Mg16 Tl6 Sn2'
_cell_length_a 9.740
_cell_length_b 9.642
_cell_length_c 8.249
_cell_angle_alpha 90.00
_cell_angle_beta 124.30
_cell_angle_gamma 90.00
_symmetry_space_group_name_H-M 'C 1 m 1'
_symmetry_Int_Tables_number 8
loop_
_symmetry_equiv_pos_as_xyz
'x,y,z'
'x,-y,z'
'x+1/2,y+1/2,z'
'x+1/2,-y+1/2,z'
loop_
_atom_site_label
_atom_site_fract_x
_atom_site_fract_y
_atom_site_fract_z
Mg1 0.000 0.000 0.000
Mg2 0.008 0.225 0.488
Mg3 0.087 0.500 0.738
Mg4 0.243 0.231 0.006
Mg5 0.245 0.500 0.493
Mg6 0.480 0.000 0.025
Tl1 0.361 0.000 0.298
Tl2 0.371 0.239 0.740
Sn1 0.342 0.500 0.212

# Sm2SnN PBE optimized geometry
# D(E_F): 0.263 states/eV/atom
# Formation energy from raw total energies: -1.072 eV/atom
# Mass density: 7.9 g/cm3
# Total DFT energy (no corrections): -78.2 eV/cell
# Total moment: 0.00 μB per formula unit
data_Sm2SnN
_chemical_formula_sum 'Sm6 Sn3 N3'
_cell_length_a 3.6316
_cell_length_b 3.6316
_cell_length_c 23.8114
_cell_angle_alpha 90.00
_cell_angle_beta 90.00
_cell_angle_gamma 120.00
_symmetry_space_group_name_H-M 'R -3 m'
_symmetry_Int_Tables_number 166
_symmetry_space_group_name_Hall '-R 3 2"'
loop_
_atom_site_label
_atom_site_fract_x
_atom_site_fract_y
_atom_site_fract_z
Sm1 0.0000 0.0000 0.2241
Sn1 0.0000 0.0000 0.0000
N1 0.0000 0.0000 0.5000

# NpPdAu PBE optimized geometry
# D(E_F): 2.726 states/eV/atom
# Mass density: 15.0 g/cm3
# Total DFT energy (no corrections): -22.1 eV/cell
# Distance to the lowest polymorph of the same formula: 0.0 meV per atom
# Total moment: 4.50 μB per formula unit
# E_form: -242 meV per atom
data_NpPdAu
_chemical_formula_sum 'Np1 Pd1 Au1'
_cell_length_a 4.8373
_cell_length_b 4.8373
_cell_length_c 2.9530
_cell_angle_alpha 90.00
_cell_angle_beta 90.00
_cell_angle_gamma 120.00
_symmetry_space_group_name_H-M 'P -6 m 2'
_symmetry_Int_Tables_number 187
_symmetry_space_group_name_Hall 'P -6 2'
loop_
_atom_site_label
_atom_site_fract_x
_atom_site_fract_y
_atom_site_fract_z
Np1 0.0000 0.0000 0.0000
Pd1 0.6667 0.3333 0.5000
Au1 0.3333 0.6667 0.5000